[1]
Computed, not measured: a relaxed LaOs2Pb crystal at the PBE level of DFT.

Results
M_tot, Bohr magnetons per cell: 0.0
Calculated volume, Å³ per cell: 88.8
E_form, meV/atom: 280

Cell: 2.995 3.816 7.770 Å, 90.00 90.00 90.00°
Atoms (fractional coordinates):
La  0.000  0.000  0.000
Os  0.000  0.000  0.389
Os  0.500  0.500  0.260
Pb  0.500  0.500  0.643

[2]
Computed, not measured: a relaxed Na7Tl4Cd crystal at the PBE level of DFT.

Results
Energy above the lowest structure with this stoichiometry, meV per atom: 0
M_tot, Bohr magnetons per cell: 0.0
Calculated volume, Å³ per cell: 343.9
E_form, meV/atom: -87

Cell: 5.445 5.445 13.394 Å, 90.00 90.00 120.00°
Atoms (fractional coordinates):
Na  0.000  0.000  0.000
Na  0.000  0.000  0.260
Na  0.000  0.000  0.740
Na  0.333  0.667  0.162
Na  0.333  0.667  0.425
Na  0.667  0.333  0.575
Na  0.667  0.333  0.838
Tl  0.333  0.667  0.671
Tl  0.333  0.667  0.915
Tl  0.667  0.333  0.085
Tl  0.667  0.333  0.329
Cd  0.000  0.000  0.500